# CeTmPd2

A relaxed structure of CeTmPd2 (PBE-GGA, Alexandria via LeMat-Bulk).

abc: 4.0770 4.0770 20.1031
angles: 90.00 90.00 120.00
Last column: nearest neighbours and their distance in Å.
Space group R-3m (No. 166, hexagonal axes)
One atom of each set of equivalent atoms:
Ce (0.0000, 0.0000, 0.0000)  6 Pd 2.91
Tm (0.0000, 0.0000, 0.5000)  6 Pd 2.86
Pd (0.0000, 0.0000, 0.2478)  3 Tm 2.86, 3 Ce 2.91

Summary:
- E_form: -264.6 kJ/mol of formula units